Compound: CeHo2Ni
Source: the Alexandria database
Functional: PBE
Structure: optimized geometry

## Properties
Calculated volume, Å³ per cell: 411
Magnetic moment, μB/f.u.: 0.90
E_tot, eV per atom: -5.41
ΔH_f (0 K), eV/atom: -0.1937

Lattice parameters (Å, degrees): 6.788 9.550 6.347 90.00 90.00 90.00
Element x y z (fractional)
Ce1 0.037 0.250 0.148
Ce2 0.463 0.750 0.648
Ce3 0.537 0.250 0.352
Ce4 0.963 0.750 0.852
Ho1 0.177 0.066 0.672
Ho2 0.177 0.434 0.672
Ho3 0.323 0.566 0.172
Ho4 0.323 0.934 0.172
Ho5 0.677 0.066 0.828
Ho6 0.677 0.434 0.828
Ho7 0.823 0.566 0.328
Ho8 0.823 0.934 0.328
Ni1 0.123 0.750 0.454
Ni2 0.377 0.250 0.954
Ni3 0.623 0.750 0.046
Ni4 0.877 0.250 0.546